Version 1
TlW2I | PBE-GGA | optimized geometry

Cell: 4.7597 4.7597 4.7597 Å, 60.00 60.00 60.00°
Atoms (fractional coordinates):
1 I 0.0000 0.0000 0.0000
2 Tl 0.5000 0.5000 0.5000
3 W 0.2500 0.2500 0.2500
4 W 0.7500 0.7500 0.7500

Values from the calculation:
For the total magnetic moment, the calculation gives 0.000 μB per atom. The space group is No. 225.

Version 2
TlW2I | PBE-GGA | optimized geometry

Cell: 4.3863 4.3863 10.2298 Å, 77.62 77.62 90.00°
Atoms (fractional coordinates):
1 I 0.5000 0.5000 0.0000
2 I 0.2500 0.7500 0.5000
3 Tl 0.0000 0.0000 0.0000
4 Tl 0.7500 0.2500 0.5000
5 W 0.5433 0.1250 0.2500
6 W 0.2067 0.6250 0.2500
7 W 0.3750 0.4567 0.7500
8 W 0.8750 0.7933 0.7500

Values from the calculation:
For the total magnetic moment, the calculation gives 0.000 μB per atom. The space group is No. 122.

Most favorable structure: version 1. The second most favorable one is 0.6 kJ/mol of atoms above it.